Entry 1:
The following is a DFT calculation (PBE-GGA) of a relaxed structure of Na3In4Pb4.

Output
The value obtained for the formation energy is -0.034 eV/atom. The crystal system is orthorhombic. Its volume is 31.7 Å³ per atom. For the energy above the most stable polymorph in this dataset, the calculation gives 0.0546 eV per atom.

```
data_Na3In4Pb4
_chemical_formula_sum 'Na6 In8 Pb8'
_cell_length_a 4.7023
_cell_length_b 8.2891
_cell_length_c 17.8990
_cell_angle_alpha 90.00
_cell_angle_beta 90.00
_cell_angle_gamma 90.00
_space_group_name_H-M_alt 'I m m m'
_space_group_IT_number 71
_space_group_name_Hall '-I 2 2'
loop_
_atom_site_label
_atom_site_fract_x
_atom_site_fract_y
_atom_site_fract_z
Na1 0.0000 0.0000 0.0000
Na2 0.0000 0.5000 0.1132
In1 0.0000 0.3025 0.3381
Pb1 0.0000 0.0000 0.2327
Pb2 0.0000 0.1886 0.5000
```

Entry 2:
The following is a DFT calculation (PBE-GGA) of a relaxed structure of CrBiRu.

Output
The value obtained for the formation energy is 0.415 eV/atom. The crystal system is monoclinic. Its volume is 18.5 Å³ per atom. For the energy above the most stable polymorph in this dataset, the calculation gives 0.2182 eV per atom.

```
data_CrBiRu
_chemical_formula_sum 'Cr4 Bi4 Ru4'
_cell_length_a 11.0582
_cell_length_b 4.1690
_cell_length_c 5.3596
_cell_angle_alpha 90.00
_cell_angle_beta 115.99
_cell_angle_gamma 90.00
_space_group_name_H-M_alt 'C 1 2/m 1'
_space_group_IT_number 12
_space_group_name_Hall '-C 2y'
loop_
_atom_site_label
_atom_site_fract_x
_atom_site_fract_y
_atom_site_fract_z
Cr1 0.0977 0.0000 0.1026
Bi1 0.1788 0.0000 0.6830
Ru1 0.0444 0.5000 0.2783
```

Entry 3:
The following is a DFT calculation (PBE-GGA) of a relaxed structure of SrYCd2B.

Output
The value obtained for the formation energy is 0.186 eV/atom. The crystal system is tetragonal. Its volume is 24.2 Å³ per atom.

```
data_SrYCd2B
_chemical_formula_sum 'Sr1 Y1 Cd2 B1'
_cell_length_a 4.8818
_cell_length_b 4.8818
_cell_length_c 5.0827
_cell_angle_alpha 90.00
_cell_angle_beta 90.00
_cell_angle_gamma 90.00
_space_group_name_H-M_alt 'P 4/m m m'
_space_group_IT_number 123
_space_group_name_Hall '-P 4 2'
loop_
_atom_site_label
_atom_site_fract_x
_atom_site_fract_y
_atom_site_fract_z
Sr1 0.0000 0.0000 0.0000
Y1 0.5000 0.5000 0.0000
Cd1 0.0000 0.5000 0.5000
B1 0.5000 0.5000 0.5000
```

Entry 4:
The following is a DFT calculation (PBE-GGA) of a relaxed structure of SrPrSn2.

Output
The value obtained for the formation energy is -0.679 eV/atom. The crystal system is orthorhombic. Its volume is 32.5 Å³ per atom.

```
data_SrPrSn2
_chemical_formula_sum 'Sr2 Pr2 Sn4'
_cell_length_a 4.4261
_cell_length_b 6.4784
_cell_length_c 9.0728
_cell_angle_alpha 90.00
_cell_angle_beta 90.00
_cell_angle_gamma 90.00
_space_group_name_H-M_alt 'P m c 21'
_space_group_IT_number 26
_space_group_name_Hall 'P 2c -2'
loop_
_atom_site_label
_atom_site_fract_x
_atom_site_fract_y
_atom_site_fract_z
Sr1 0.0000 0.1282 0.0000
Pr1 0.5000 0.3639 0.6345
Sn1 0.0000 0.4062 0.3574
Sn2 0.5000 0.1184 0.2801
```

Entry 5:
The following is a DFT calculation (PBE-GGA) of a relaxed structure of Nd2Dy2Se5.

Output
The crystal system is orthorhombic. The raw formation energy comes out at -1.761 eV/atom. Its volume is 25.0 Å³ per atom. For the energy above the most stable polymorph in this dataset, the calculation gives 0.0000 eV per atom.

```
data_Nd2Dy2Se5
_chemical_formula_sum 'Nd8 Dy8 Se20'
_cell_length_a 14.8674
_cell_length_b 7.8021
_cell_length_c 7.7560
_cell_angle_alpha 90.00
_cell_angle_beta 90.00
_cell_angle_gamma 90.00
_space_group_name_H-M_alt 'C m c e'
_space_group_IT_number 64
_space_group_name_Hall '-C 2ac 2'
loop_
_atom_site_label
_atom_site_fract_x
_atom_site_fract_y
_atom_site_fract_z
Nd1 0.1976 0.0000 0.0000
Dy1 0.0000 0.1513 0.3433
Se1 0.0000 0.0000 0.0000
Se2 0.1350 0.1583 0.6540
```

Entry 6:
The following is a DFT calculation (PBE-GGA) of a relaxed structure of Al3V12Co.

Output
The value obtained for the formation energy is -0.161 eV/atom. The crystal system is orthorhombic. Its volume is 13.5 Å³ per atom.

```
data_Al3V12Co
_chemical_formula_sum 'Al3 V12 Co1'
_cell_length_a 4.7446
_cell_length_b 4.7528
_cell_length_c 9.5865
_cell_angle_alpha 90.00
_cell_angle_beta 90.00
_cell_angle_gamma 90.00
_space_group_name_H-M_alt 'P m m m'
_space_group_IT_number 47
_space_group_name_Hall '-P 2 2'
loop_
_atom_site_label
_atom_site_fract_x
_atom_site_fract_y
_atom_site_fract_z
Al1 0.0000 0.0000 0.0000
Al2 0.5000 0.5000 0.2503
V1 0.0000 0.5000 0.1314
V2 0.0000 0.5000 0.3836
V3 0.2442 0.0000 0.2584
V4 0.5000 0.2449 0.5000
V5 0.5000 0.2604 0.0000
Co1 0.0000 0.0000 0.5000
```

- Which value of volume does entry 6 give?
  13.5 Å³ per atom